Material: NiSbI2O
Method: DFT, PBE with a Hubbard U
State: optimized geometry

Calculated values
Energy above the lowest structure with this stoichiometry   0.000 eV/atom
Crystal system   tetragonal
Raw total energy   -14.32 eV for the cell shown

```
5
Lattice="6.079 0.000 0.000 0.000 6.079 0.000 0.000 0.000 4.081" Properties=species:S:1:pos:R:3 pbc="T T T"
Ni 0.000 0.000 0.000
Sb 3.040 3.040 2.041
I 0.000 3.040 2.041
I 3.040 0.000 2.041
O 3.040 3.040 0.000
```